Entry 1:
DFT (PBE) results for NaLaSb2Te after structural relaxation.

Cell lengths 5.3642, 5.3642, 5.4836 Å; angles 90.00, 90.00, 90.00 degrees
Last column: nearest neighbours and their distance in Å.
Atoms (fractional coordinates):
Na1 0.0000 0.0000 0.0000  4 Sb 2.68, 2 Te 2.74
La1 0.5000 0.5000 0.5000  4 Te 3.79, 8 Sb 3.84
Sb1 0.0000 0.5000 0.0000  2 Na 2.68
Sb2 0.5000 0.0000 0.0000  2 Na 2.68
Te1 0.0000 0.0000 0.5000  2 Na 2.74

The calculation puts the spin magnetization at 0.0 μB/f.u. As for the total energy: -3.5853 eV/atom. The calculation puts the energy above the lowest structure with this stoichiometry at 0.010 eV/atom. As for the density of states at the Fermi level: 3.095 states/eV/f.u. As for the raw formation energy: -0.06 eV/atom.



Entry 2:
DFT (PBE) results for NaLaSbTe2 after structural relaxation.

Cell lengths 6.1886, 6.1886, 6.1698 Å; angles 90.00, 90.00, 90.00 degrees
Last column: nearest neighbours and their distance in Å.
Atoms (fractional coordinates):
Na1 0.0000 0.0000 0.0000  8 Te 4.37, 4 Sb 4.38
La1 0.5000 0.5000 0.5000  2 Sb 3.08, 4 Te 3.09
Sb1 0.5000 0.5000 0.0000  2 La 3.08
Te1 0.0000 0.5000 0.5000  2 La 3.09
Te2 0.5000 0.0000 0.5000  2 La 3.09

The calculation puts the spin magnetization at 1.0 μB/f.u. As for the total energy: -3.6551 eV/atom. The calculation puts the energy above the lowest structure with this stoichiometry at 0.000 eV/atom. As for the density of states at the Fermi level: 5.245 states/eV/f.u. As for the raw formation energy: -0.32 eV/atom.



Entry 3:
DFT (PBE) results for NaLaSbTe2 after structural relaxation.

Cell lengths 5.5448, 5.5448, 5.2395 Å; angles 90.00, 90.00, 90.00 degrees
Last column: nearest neighbours and their distance in Å.
Atoms (fractional coordinates):
Na1 0.0000 0.0000 0.0000  2 Sb 2.62, 4 Te 2.77
La1 0.5000 0.5000 0.5000  8 Te 3.81, 4 Sb 3.92
Sb1 0.0000 0.0000 0.5000  2 Na 2.62
Te1 0.0000 0.5000 0.0000  2 Na 2.77
Te2 0.5000 0.0000 0.0000  2 Na 2.77

The calculation puts the spin magnetization at 0.0 μB/f.u. As for the total energy: -3.5357 eV/atom. The calculation puts the energy above the lowest structure with this stoichiometry at 0.119 eV/atom. As for the density of states at the Fermi level: 3.121 states/eV/f.u. As for the raw formation energy: -0.21 eV/atom.



Entry 4:
DFT (PBE) results for NaLa2Sc2 after structural relaxation.

Cell lengths 9.6275, 9.6275, 3.4490 Å; angles 90.00, 90.00, 90.00 degrees
Last column: nearest neighbours and their distance in Å.
Atoms (fractional coordinates):
Na1 0.0000 0.0000 0.0000  2 Na 3.45
Na2 0.5000 0.5000 0.0000  2 Na 3.45
La1 0.1844 0.3156 0.5000  6 Sc 3.28-3.40, 2 La 3.45
La2 0.3156 0.8156 0.5000  6 Sc 3.28-3.40, 2 La 3.45
La3 0.6844 0.1844 0.5000  6 Sc 3.28-3.40, 2 La 3.45
La4 0.8156 0.6844 0.5000  6 Sc 3.28-3.40, 2 La 3.45
Sc1 0.1105 0.6105 0.0000  1 Sc 3.01, 2 La 3.28
Sc2 0.3895 0.1105 0.0000  1 Sc 3.01, 2 La 3.28
Sc3 0.6105 0.8895 0.0000  1 Sc 3.01, 2 La 3.28
Sc4 0.8895 0.3895 0.0000  1 Sc 3.01, 2 La 3.28

The formation energy comes out at 22.36 kJ/mol of atoms. The calculation puts the spin magnetization at 0.0 μB/f.u. As for the total energy: -4.5356 eV/atom. The calculation puts the energy above the lowest structure with this stoichiometry at 0.000 eV/atom. As for the density of states at the Fermi level: 3.723 states/eV/f.u.